Crystalline Sb2WCl at its relaxed geometry, computed with GGA-PBE.

```
Sb2WCl
1.0
-3.6781 -1.7777 3.3854
1.4993 -4.9905 -0.9985
1.9818 0.1489 2.2314
W Sb Cl
1 2 1
direct
0.5000 0.0000 0.5000
0.5000 0.5000 0.0000
0.0000 0.0000 0.0000
0.0000 0.5000 0.5000
```

Values from the calculation:
The calculation puts the spin magnetization at 0.00 μB/f.u. The energy relative to the lowest polymorph listed for this composition is 0.515 eV per atom. The value obtained for the density of states at the Fermi level is 3.650 states/eV/cell. As for the symmetry: No. 123. Its uncorrected formation energy is 683 meV per atom.

=====

Crystalline SrLi2Ac at its relaxed geometry, computed with GGA-PBE.

```
SrLi2Ac
1.0
5.8345 0.0000 0.0000
2.9172 5.0528 0.0000
2.9172 1.6843 4.7638
Li Sr Ac
2 1 1
direct
0.2500 0.2500 0.2500
0.7500 0.7500 0.7500
0.5000 0.5000 0.5000
0.0000 0.0000 0.0000
```

Values from the calculation:
The calculation puts the spin magnetization at 0.00 μB/f.u. The energy relative to the lowest polymorph listed for this composition is 0.022 eV per atom. The value obtained for the density of states at the Fermi level is 3.719 states/eV/cell. As for the symmetry: No. 225. The formation enthalpy at 0 K comes out at 0.10 eV/atom.